(1)
A PBEsol-optimized structure of Tl3Cd2I7, computed with SCAN.

abc: 4.4809 13.2687 14.7031
angles: 90.00 90.00 90.00
Last column: nearest neighbours and their distance in Å.
Atoms (fractional coordinates):
Cd 0.5000 0.7784 0.1041  4 I 2.77-2.91
Cd 0.5000 0.7216 0.6041  4 I 2.77-2.91
Cd 0.5000 0.2216 0.8959  4 I 2.77-2.91
Cd 0.5000 0.2784 0.3959  4 I 2.77-2.91
I 0.0000 0.6489 0.7014  2 Cd 2.83
I 0.5000 0.2995 0.0705  1 Cd 2.77
I 0.5000 0.0754 0.3208  1 Cd 2.91
I 0.0000 0.8511 0.2014  2 Cd 2.83
I 0.0000 0.3511 0.2986  2 Cd 2.83
I 0.5000 0.5754 0.1792  1 Cd 2.91
I 0.5000 0.7995 0.4295  1 Cd 2.77
I 0.5000 0.9246 0.6792  1 Cd 2.91
I 0.5000 0.7005 0.9295  1 Cd 2.77
I 0.5000 0.4246 0.8208  1 Cd 2.91
I 0.5000 0.0000 0.0000  2 Cd 3.31, 4 Tl 3.46
I 0.0000 0.1489 0.7986  2 Cd 2.83
I 0.5000 0.2005 0.5705  1 Cd 2.77
I 0.5000 0.5000 0.5000  2 Cd 3.31, 4 Tl 3.46
Tl 0.0000 0.3866 0.6472  7 I 3.43-3.57
Tl 0.0000 0.5000 0.0000  8 I 3.60-3.63
Tl 0.0000 0.6134 0.3528  7 I 3.43-3.57
Tl 0.0000 0.0000 0.5000  8 I 3.60-3.63
Tl 0.0000 0.8866 0.8528  7 I 3.43-3.57
Tl 0.0000 0.1134 0.1472  7 I 3.43-3.57

- calculated total energy (eV per atom) = -45.235
- M_tot (μB per cell) = 0.00
- ΔE_f (raw) (eV/atom) = -0.644



(2)
A PBEsol-optimized structure of Tl3CdI, computed with SCAN.

abc: 6.2269 6.2269 6.2269
angles: 90.00 90.00 90.00
Last column: nearest neighbours and their distance in Å.
Atoms (fractional coordinates):
Tl 0.5000 0.0000 0.0000  2 I 3.11
Tl 0.0000 0.5000 0.0000  2 I 3.11
Tl 0.0000 0.0000 0.5000  2 I 3.11
I 0.0000 0.0000 0.0000  6 Tl 3.11
Cd 0.5000 0.5000 0.5000  12 Tl 4.40

- calculated total energy (eV per atom) = -56.485
- M_tot (μB per cell) = 0.00
- ΔE_f (raw) (eV/atom) = 0.361



(3)
A PBEsol-optimized structure of Zn3CdI, computed with SCAN.

abc: 5.4750 5.4750 5.4750
angles: 90.00 90.00 90.00
Last column: nearest neighbours and their distance in Å.
Atoms (fractional coordinates):
Zn 0.0000 0.5000 0.0000  2 I 2.74
Zn 0.0000 0.0000 0.5000  2 I 2.74
Zn 0.5000 0.0000 0.0000  2 I 2.74
I 0.0000 0.0000 0.0000  6 Zn 2.74
Cd 0.5000 0.5000 0.5000  12 Zn 3.87

- calculated total energy (eV per atom) = -20.591
- M_tot (μB per cell) = 0.00
- ΔE_f (raw) (eV/atom) = 0.949



(4)
A PBEsol-optimized structure of ZnCdI2, computed with SCAN.

abc: 5.3324 5.3324 5.3324
angles: 60.00 60.00 60.00
Last column: nearest neighbours and their distance in Å.
Atoms (fractional coordinates):
Cd 0.5000 0.5000 0.5000  8 I 3.27
I 0.2500 0.2500 0.2500  4 Zn 3.27, 4 Cd 3.27
I 0.7500 0.7500 0.7500  4 Cd 3.27, 4 Zn 3.27
Zn 0.0000 0.0000 0.0000  8 I 3.27

- calculated total energy (eV per atom) = -29.250
- M_tot (μB per cell) = 0.00
- ΔE_f (raw) (eV/atom) = 0.103



(5)
A PBEsol-optimized structure of Zr3CdI, computed with SCAN.

abc: 5.2187 5.2187 5.2187
angles: 90.00 90.00 90.00
Last column: nearest neighbours and their distance in Å.
Atoms (fractional coordinates):
Zr 0.0000 0.5000 0.0000  2 Cd 2.61
Zr 0.5000 0.0000 0.0000  2 Cd 2.61
Zr 0.0000 0.0000 0.5000  2 Cd 2.61
I 0.5000 0.5000 0.5000  12 Zr 3.69
Cd 0.0000 0.0000 0.0000  6 Zr 2.61

- calculated total energy (eV per atom) = -30.848
- M_tot (μB per cell) = 2.09
- ΔE_f (raw) (eV/atom) = 1.002



(6)
A PBEsol-optimized structure of Cd5In3, computed with SCAN.

abc: 4.4773 6.3273 6.3273
angles: 90.63 90.00 90.00
Last column: nearest neighbours and their distance in Å.
Atoms (fractional coordinates):
Cd 0.0000 0.5000 0.0000  6 In 3.16, 6 Cd 3.16-3.17
Cd 0.5000 0.7538 0.7538  6 In 3.12-3.21, 6 Cd 3.13-3.17
Cd 0.0000 0.0000 0.0000  8 Cd 3.13-3.16, 4 In 3.15
Cd 0.0000 0.0000 0.5000  6 In 3.16, 6 Cd 3.16-3.17
Cd 0.5000 0.2462 0.2462  6 In 3.12-3.21, 6 Cd 3.13-3.17
In 0.0000 0.5000 0.5000  8 Cd 3.16-3.18, 4 In 3.19
In 0.5000 0.7531 0.2469  10 Cd 3.12-3.21, 2 In 3.19
In 0.5000 0.2469 0.7531  10 Cd 3.12-3.21, 2 In 3.19

- calculated total energy (eV per atom) = -31.471
- energy above the most stable polymorph in this dataset (meV per atom) = 0
- formation enthalpy at 0 K (eV/atom) = 0.058
- M_tot (μB per cell) = 0.00



(7)
A PBEsol-optimized structure of CdIn3, computed with SCAN.

abc: 3.5542 5.2628 5.2628
angles: 90.00 90.00 90.00
Last column: nearest neighbours and their distance in Å.
Atoms (fractional coordinates):
In 0.5000 0.5000 0.0000  6 In 3.18-3.55, 4 Cd 3.18
In 0.5000 0.0000 0.5000  6 In 3.18-3.55, 4 Cd 3.18
In 0.0000 0.5000 0.5000  10 In 3.18-3.55
Cd 0.0000 0.0000 0.0000  8 In 3.18, 2 Cd 3.55

- calculated total energy (eV per atom) = -32.539
- formation enthalpy at 0 K (eV/atom) = 0.104
- M_tot (μB per cell) = 0.00



(8)
A PBEsol-optimized structure of CdIn3, computed with SCAN.

abc: 3.3724 5.2628 5.5699
angles: 90.00 90.00 90.00
Last column: nearest neighbours and their distance in Å.
Atoms (fractional coordinates):
In 0.0000 0.5000 0.3351  10 In 3.22-3.37, 2 Cd 3.25
In 0.5000 0.5000 0.8431  8 In 3.22-3.37, 4 Cd 3.23
In 0.5000 0.0000 0.4956  4 Cd 3.24-3.27, 8 In 3.25-3.37
Cd 0.0000 0.0000 0.9929  10 In 3.23-3.27, 2 Cd 3.37

- calculated total energy (eV per atom) = -32.551
- formation enthalpy at 0 K (eV/atom) = 0.093
- M_tot (μB per cell) = 0.00